Computed, not measured: an optimized crystal structure of RbNa2MnF8 at the PBE with a Hubbard U level of DFT.

a = 5.0467 Å, b = 4.9399 Å, c = 7.6638 Å
α = 89.19°, β = 89.62°, γ = 90.57°
Closest atoms and distances in Å follow each position.
Fractional positions:
Rb (0.0000, 0.0000, 0.5000)  8 F 2.80-3.06
Na (0.4985, 0.4974, 0.7849)  6 F 2.30-2.40
Na (0.5015, 0.5026, 0.2151)  6 F 2.30-2.40
Mn (0.0000, 0.0000, 0.0000)  6 F 1.85
F (0.1487, 0.7887, 0.1735)  1 Mn 1.85
F (0.7112, 0.7665, 0.9958)  1 Mn 1.85
F (0.8391, 0.1999, 0.1717)  1 Mn 1.85
F (0.8513, 0.2113, 0.8265)  1 Mn 1.85
F (0.2888, 0.2335, 0.0042)  1 Mn 1.85
F (0.1609, 0.8001, 0.8283)  1 Mn 1.85
F (0.5274, 0.6990, 0.4986)  1 F 1.98
F (0.4726, 0.3010, 0.5014)  1 F 1.98

Summary:
- Magnetic moment: 0.318 μB per atom
- VASP energy: -54.4 eV for the cell shown